A geometry-optimized LaCrW2 structure. Source: the Alexandria database, functional GGA-PBE.

Properties
Calculated volume (Å³/cell): 220.1
Relative energy among the computed polymorphs (meV per atom): 288
DFT formation energy (meV/atom): 781
Magnetization (μB/f.u.): 0.00
Symmetry: R-3m, No. 166
Theoretical density (kg/m3): 12640

Unit cell a=2.9856 b=2.9856 c=28.5169 alpha=90.00 beta=90.00 gamma=120.00
Fractional coordinates of all 12 atoms:
La (0.0000, 0.0000, 0.0000)
La (0.3333, 0.6667, 0.6667)
La (0.6667, 0.3333, 0.3333)
Cr (0.0000, 0.0000, 0.5000)
Cr (0.3333, 0.6667, 0.1667)
Cr (0.6667, 0.3333, 0.8333)
W (0.0000, 0.0000, 0.2336)
W (0.0000, 0.0000, 0.7664)
W (0.3333, 0.6667, 0.4331)
W (0.3333, 0.6667, 0.9003)
W (0.6667, 0.3333, 0.0997)
W (0.6667, 0.3333, 0.5669)